*w*
Compound: HfGaHg3
Source: the Alexandria database
Functional: PBE
Structure: relaxed

Computed properties:
The value obtained for the spin magnetization is 0.00 μB per atom. The density of states at the Fermi level is 3.31 states/eV/f.u.

Unit cell a=5.0306 b=5.0306 c=5.0306 alpha=90.00 beta=90.00 gamma=90.00
Space group Pm-3m (No. 221)
One atom of each set of equivalent atoms:
1 Hf 0.0000 0.0000 0.0000 x1
2 Ga 0.5000 0.5000 0.5000 x1
3 Hg 0.0000 0.5000 0.5000 x3

---

*x*
Compound: HfGaHg3
Source: the Alexandria database
Functional: PBE
Structure: relaxed

Computed properties:
The value obtained for the spin magnetization is 0.00 μB per atom. The density of states at the Fermi level is 8.40 states/eV/f.u.

Unit cell a=5.5697 b=5.5697 c=5.5697 alpha=90.00 beta=90.00 gamma=90.00
Space group Pm-3m (No. 221)
One atom of each set of equivalent atoms:
1 Hf 0.0000 0.0000 0.0000 x1
2 Ga 0.5000 0.5000 0.5000 x1
3 Hg 0.0000 0.0000 0.5000 x3

---

Least stable structure: *w*

---

*w*
Compound: HfGa3Hg
Source: the Alexandria database
Functional: PBE
Structure: relaxed

Computed properties:
The value obtained for the spin magnetization is 0.00 μB per atom. The density of states at the Fermi level is 3.68 states/eV/f.u.

Unit cell a=5.3181 b=5.3181 c=5.3181 alpha=90.00 beta=90.00 gamma=90.00
Space group Pm-3m (No. 221)
One atom of each set of equivalent atoms:
1 Hf 0.0000 0.0000 0.0000 x1
2 Ga 0.0000 0.0000 0.5000 x3
3 Hg 0.5000 0.5000 0.5000 x1

---

*x*
Compound: HfGa3Hg
Source: the Alexandria database
Functional: PBE
Structure: relaxed

Computed properties:
The value obtained for the spin magnetization is 0.00 μB per atom. The density of states at the Fermi level is 2.75 states/eV/f.u.

Unit cell a=5.0239 b=5.0239 c=5.0239 alpha=90.00 beta=90.00 gamma=90.00
Space group Pm-3m (No. 221)
One atom of each set of equivalent atoms:
1 Hf 0.0000 0.0000 0.0000 x1
2 Ga 0.0000 0.5000 0.5000 x3
3 Hg 0.5000 0.5000 0.5000 x1

---

Least stable structure: *x*

---

*w*
Compound: HoHfGa
Source: the Alexandria database
Functional: PBE
Structure: relaxed

Computed properties:
The value obtained for the spin magnetization is 0.00 μB per atom. The density of states at the Fermi level is 2.55 states/eV/f.u.

Unit cell a=3.3124 b=3.3124 c=12.3200 alpha=90.00 beta=90.00 gamma=90.00
Space group I4mm (No. 107)
One atom of each set of equivalent atoms:
1 Ho 0.0000 0.0000 0.0000 x2
2 Hf 0.0000 0.0000 0.3109 x2
3 Ga 0.0000 0.0000 0.6663 x2

---

*x*
Compound: HoHfGa
Source: the Alexandria database
Functional: PBE
Structure: relaxed

Computed properties:
The value obtained for the spin magnetization is 0.00 μB per atom. The density of states at the Fermi level is 3.06 states/eV/f.u.

Unit cell a=4.8183 b=4.8183 c=3.4800 alpha=90.00 beta=90.00 gamma=120.00
Space group P-6m2 (No. 187)
One atom of each set of equivalent atoms:
1 Ho 0.0000 0.0000 0.0000 x1
2 Hf 0.3333 0.6667 0.5000 x1
3 Ga 0.6667 0.3333 0.5000 x1

---

Least stable structure: *x*

---

*w*
Compound: HoHf2Ga6
Source: the Alexandria database
Functional: PBE
Structure: relaxed

Computed properties:
The value obtained for the spin magnetization is 0.00 μB per atom. The density of states at the Fermi level is 3.02 states/eV/f.u.

Unit cell a=7.7012 b=7.7012 c=3.1972 alpha=90.00 beta=90.00 gamma=120.00
Space group P6/mmm (No. 191)
One atom of each set of equivalent atoms:
1 Ho 0.0000 0.0000 0.0000 x1
2 Hf 0.3333 0.6667 0.0000 x2
3 Ga 0.0000 0.3369 0.5000 x6

---

*x*
Compound: HoHf2Ga6
Source: the Alexandria database
Functional: PBE
Structure: relaxed

Computed properties:
The value obtained for the spin magnetization is 0.00 μB per atom. The density of states at the Fermi level is 4.14 states/eV/f.u.

Unit cell a=4.1369 b=6.6702 c=12.9274 alpha=90.00 beta=90.00 gamma=90.00
Space group Immm (No. 71)
One atom of each set of equivalent atoms:
1 Ho 0.0000 0.0000 0.0000 x2
2 Hf 0.0000 0.5000 0.1187 x4
3 Ga 0.0000 0.1898 0.5000 x4
4 Ga 0.0000 0.2956 0.3093 x8

---

Least stable structure: *x*

---

*w*
Compound: HoHfGa2
Source: the Alexandria database
Functional: PBE
Structure: relaxed

Computed properties:
The value obtained for the spin magnetization is 0.00 μB per atom. The density of states at the Fermi level is 2.65 states/eV/f.u.

Unit cell a=6.8830 b=6.8830 c=6.8830 alpha=90.00 beta=90.00 gamma=90.00
Space group Fm-3m (No. 225)
One atom of each set of equivalent atoms:
1 Ho 0.0000 0.0000 0.0000 x4
2 Hf 0.0000 0.0000 0.5000 x4
3 Ga 0.2500 0.2500 0.2500 x8

---

*x*
Compound: HoHfGa2
Source: the Alexandria database
Functional: PBE
Structure: relaxed

Computed properties:
The value obtained for the spin magnetization is 0.00 μB per atom. The density of states at the Fermi level is 2.96 states/eV/f.u.

Unit cell a=3.4757 b=3.4757 c=25.1780 alpha=90.00 beta=90.00 gamma=120.00
Space group R-3m (No. 166, hexagonal axes)
One atom of each set of equivalent atoms:
1 Ho 0.0000 0.0000 0.0000 x3
2 Hf 0.0000 0.0000 0.5000 x3
3 Ga 0.0000 0.0000 0.2460 x6

---

*y*
Compound: HoHfGa2
Source: the Alexandria database
Functional: PBE
Structure: relaxed

Computed properties:
The value obtained for the spin magnetization is 0.00 μB per atom. The density of states at the Fermi level is 3.55 states/eV/f.u.

Unit cell a=3.5555 b=3.5555 c=6.4760 alpha=90.00 beta=90.00 gamma=90.00
Space group P4/mmm (No. 123)
One atom of each set of equivalent atoms:
1 Ho 0.0000 0.0000 0.0000 x1
2 Hf 0.0000 0.0000 0.5000 x1
3 Ga 0.5000 0.5000 0.2768 x2

---

*z*
Compound: HoHfGa2
Source: the Alexandria database
Functional: PBE
Structure: relaxed

Computed properties:
The value obtained for the spin magnetization is 0.00 μB per atom. The density of states at the Fermi level is 2.32 states/eV/f.u.

Unit cell a=7.5562 b=4.1974 c=10.5687 alpha=90.00 beta=90.00 gamma=90.00
Space group Pnma (No. 62)
One atom of each set of equivalent atoms:
1 Ho 0.2144 0.2500 0.1770 x4
2 Hf 0.0513 0.7500 0.4037 x4
3 Ga 0.0796 0.2500 0.8504 x4
4 Ga 0.2107 0.7500 0.9720 x4

---

Least stable structure: *x*

---

*w*
Compound: HfGa2I
Source: the Alexandria database
Functional: PBE
Structure: relaxed

Computed properties:
The value obtained for the spin magnetization is 0.00 μB per atom. The density of states at the Fermi level is 4.43 states/eV/f.u.

Unit cell a=6.6424 b=6.6424 c=12.7181 alpha=90.00 beta=90.00 gamma=90.00
Space group I-42d (No. 122)
One atom of each set of equivalent atoms:
1 Hf 0.0000 0.0000 0.0000 x4
2 Ga 0.2226 0.2500 0.1250 x8
3 I 0.0000 0.0000 0.5000 x4

---

*x*
Compound: HfGa2I
Source: the Alexandria database
Functional: PBE
Structure: relaxed

Computed properties:
The value obtained for the spin magnetization is 0.00 μB per atom. The density of states at the Fermi level is 3.17 states/eV/f.u.

Unit cell a=7.2104 b=7.2104 c=7.2104 alpha=90.00 beta=90.00 gamma=90.00
Space group Fm-3m (No. 225)
One atom of each set of equivalent atoms:
1 Hf 0.0000 0.0000 0.0000 x4
2 Ga 0.2500 0.2500 0.2500 x8
3 I 0.0000 0.0000 0.5000 x4

---

Least stable structure: *w*

---

*w*
Compound: Hf2GaI
Source: the Alexandria database
Functional: PBE
Structure: relaxed

Computed properties:
The value obtained for the spin magnetization is 0.00 μB per atom. The density of states at the Fermi level is 7.08 states/eV/f.u.

Unit cell a=6.9598 b=6.9598 c=6.9598 alpha=90.00 beta=90.00 gamma=90.00
Space group Fm-3m (No. 225)
One atom of each set of equivalent atoms:
1 Hf 0.2500 0.2500 0.2500 x8
2 Ga 0.0000 0.0000 0.0000 x4
3 I 0.0000 0.0000 0.5000 x4

---

*x*
Compound: Hf2GaI
Source: the Alexandria database
Functional: PBE
Structure: relaxed

Computed properties:
The value obtained for the spin magnetization is 0.00 μB per atom. The density of states at the Fermi level is 3.21 states/eV/f.u.

Unit cell a=5.5803 b=5.5803 c=15.2351 alpha=90.00 beta=90.00 gamma=90.00
Space group I-42d (No. 122)
One atom of each set of equivalent atoms:
1 Hf 0.1809 0.2500 0.1250 x8
2 Ga 0.0000 0.0000 0.0000 x4
3 I 0.0000 0.0000 0.5000 x4

---

Least stable structure: *x*

---

*w*
Compound: HfGaI3
Source: the Alexandria database
Functional: PBE
Structure: relaxed

Computed properties:
The value obtained for the spin magnetization is 0.00 μB per atom. The density of states at the Fermi level is 5.22 states/eV/f.u.

Unit cell a=5.7032 b=5.7032 c=5.7032 alpha=90.00 beta=90.00 gamma=90.00
Space group Pm-3m (No. 221)
One atom of each set of equivalent atoms:
1 Hf 0.0000 0.0000 0.0000 x1
2 Ga 0.5000 0.5000 0.5000 x1
3 I 0.0000 0.0000 0.5000 x3

---

*x*
Compound: HfGaI3
Source: the Alexandria database
Functional: PBE
Structure: relaxed

Computed properties:
The value obtained for the spin magnetization is 0.40 μB per atom. The density of states at the Fermi level is 7.54 states/eV/f.u.

Unit cell a=5.6340 b=5.6340 c=5.6340 alpha=90.00 beta=90.00 gamma=90.00
Space group Pm-3m (No. 221)
One atom of each set of equivalent atoms:
1 Hf 0.0000 0.0000 0.0000 x1
2 Ga 0.5000 0.5000 0.5000 x1
3 I 0.0000 0.5000 0.5000 x3

---

Least stable structure: *x*

---

*w*
Compound: HfGaSb2I
Source: the Alexandria database
Functional: PBE
Structure: relaxed

Computed properties:
The value obtained for the spin magnetization is 0.00 μB per atom. The density of states at the Fermi level is 3.55 states/eV/f.u.

Unit cell a=5.5119 b=5.5119 c=5.9119 alpha=90.00 beta=90.00 gamma=90.00
Space group P4/mmm (No. 123)
One atom of each set of equivalent atoms:
1 Hf 0.0000 0.0000 0.0000 x1
2 Ga 0.5000 0.5000 0.5000 x1
3 Sb 0.0000 0.5000 0.0000 x2
4 I 0.0000 0.0000 0.5000 x1

---

*x*
Compound: HfGaSb2I
Source: the Alexandria database
Functional: PBE
Structure: relaxed

Computed properties:
The value obtained for the spin magnetization is 0.00 μB per atom. The density of states at the Fermi level is 4.03 states/eV/f.u.

Unit cell a=5.2466 b=5.2466 c=5.3612 alpha=90.00 beta=90.00 gamma=90.00
Space group P4/mmm (No. 123)
One atom of each set of equivalent atoms:
1 Hf 0.0000 0.0000 0.0000 x1
2 Ga 0.5000 0.5000 0.5000 x1
3 Sb 0.0000 0.5000 0.5000 x2
4 I 0.5000 0.5000 0.0000 x1

---

Least stable structure: *x*

---

*w*
Compound: HfGaTe2I
Source: the Alexandria database
Functional: PBE
Structure: relaxed

Computed properties:
The value obtained for the spin magnetization is 0.00 μB per atom. The density of states at the Fermi level is 1.53 states/eV/f.u.

Unit cell a=5.6005 b=5.6005 c=5.7574 alpha=90.00 beta=90.00 gamma=90.00
Space group P4/mmm (No. 123)
One atom of each set of equivalent atoms:
1 Hf 0.0000 0.0000 0.0000 x1
2 Ga 0.5000 0.5000 0.5000 x1
3 Te 0.0000 0.5000 0.0000 x2
4 I 0.0000 0.0000 0.5000 x1

---

*x*
Compound: HfGaTe2I
Source: the Alexandria database
Functional: PBE
Structure: relaxed

Computed properties:
The value obtained for the spin magnetization is 0.12 μB per atom. The density of states at the Fermi level is 3.24 states/eV/f.u.

Unit cell a=5.3591 b=5.3591 c=5.2650 alpha=90.00 beta=90.00 gamma=90.00
Space group P4/mmm (No. 123)
One atom of each set of equivalent atoms:
1 Hf 0.0000 0.0000 0.0000 x1
2 Ga 0.5000 0.5000 0.5000 x1
3 Te 0.0000 0.5000 0.5000 x2
4 I 0.5000 0.5000 0.0000 x1

---

Least stable structure: *x*

---

*w*
Compound: HfIn2Ga2
Source: the Alexandria database
Functional: PBE
Structure: relaxed

Computed properties:
The value obtained for the spin magnetization is 0.00 μB per atom. The density of states at the Fermi level is 3.54 states/eV/f.u.

Unit cell a=7.2971 b=7.2971 c=3.9751 alpha=90.00 beta=90.00 gamma=90.00
Space group P4/mbm (No. 127)
One atom of each set of equivalent atoms:
1 Hf 0.0000 0.0000 0.0000 x2
2 In 0.1713 0.3287 0.5000 x4
3 Ga 0.1303 0.6303 0.0000 x4

---

*x*
Compound: HfIn2Ga2
Source: the Alexandria database
Functional: PBE
Structure: relaxed

Computed properties:
The value obtained for the spin magnetization is 0.00 μB per atom. The density of states at the Fermi level is 2.39 states/eV/f.u.

Unit cell a=7.9279 b=7.9279 c=3.4356 alpha=90.00 beta=90.00 gamma=90.00
Space group P4/mbm (No. 127)
One atom of each set of equivalent atoms:
1 Hf 0.0000 0.0000 0.0000 x2
2 In 0.1334 0.3666 0.0000 x4
3 Ga 0.1690 0.6690 0.5000 x4

---

Least stable structure: *x*

---

*w*
Compound: HfScInGa
Source: the Alexandria database
Functional: PBE
Structure: relaxed

Computed properties:
The value obtained for the spin magnetization is 0.10 μB per atom. The density of states at the Fermi level is 2.96 states/eV/f.u.

Unit cell a=3.0751 b=3.0751 c=8.5918 alpha=90.00 beta=90.00 gamma=90.00
Space group P4mm (No. 99)
One atom of each set of equivalent atoms:
1 Hf 0.0000 0.0000 0.0000 x1
2 Sc 0.0000 0.0000 0.4521 x1
3 In 0.5000 0.5000 0.7276 x1
4 Ga 0.5000 0.5000 0.2263 x1

---

*x*
Compound: HfScInGa
Source: the Alexandria database
Functional: PBE
Structure: relaxed

Computed properties:
The value obtained for the spin magnetization is 0.00 μB per atom. The density of states at the Fermi level is 2.67 states/eV/f.u.

Unit cell a=6.9096 b=6.9096 c=6.9096 alpha=90.00 beta=90.00 gamma=90.00
Space group F-43m (No. 216)
One atom of each set of equivalent atoms:
1 Hf 0.0000 0.0000 0.0000 x4
2 Sc 0.0000 0.0000 0.5000 x4
3 In 0.2500 0.2500 0.7500 x4
4 Ga 0.2500 0.2500 0.2500 x4

---

Least stable structure: *x*